! PBE-GGA InGa2HgIr, optimized geometry; values from VASP
! energy of formation from the pure elements = -0.21 eV per atom
! total magnetization = 0.0 μB per formula unit
! DOS(E_F) = 1.4 states/eV/f.u.
&SYSTEM
  ibrav = 0, nat = 5, ntyp = 4
/
ATOMIC_SPECIES
Ga 69.72 Ga.upf
Ir 192.22 Ir.upf
In 114.82 In.upf
Hg 200.59 Hg.upf
CELL_PARAMETERS angstrom
-0.457 -3.853 2.912
4.068 1.270 2.319
-2.816 2.877 3.365
ATOMIC_POSITIONS angstrom
Ga -0.229 -1.927 1.456
Ga 2.034 0.635 1.159
Ir 0.000 0.000 0.000
In -1.408 1.439 1.682
Hg 0.397 0.147 4.298

! PBE-GGA KIn2GaHg, optimized geometry; values from VASP
! energy of formation from the pure elements = 0.06 eV per atom
! total magnetization = 0.0 μB per formula unit
! DOS(E_F) = 3.2 states/eV/f.u.
&SYSTEM
  ibrav = 0, nat = 5, ntyp = 4
/
ATOMIC_SPECIES
Hg 200.59 Hg.upf
In 114.82 In.upf
Ga 69.72 Ga.upf
K 39.10 K.upf
CELL_PARAMETERS angstrom
-3.593 -1.785 -3.968
0.752 -5.324 1.714
-4.031 0.529 3.413
ATOMIC_POSITIONS angstrom
Hg -2.016 0.264 1.706
In -1.797 -0.892 -1.984
In 0.376 -2.662 0.857
Ga 0.000 0.000 0.000
K -3.436 -3.290 0.579

! PBE-GGA KInGaHg2, optimized geometry; values from VASP
! energy of formation from the pure elements = -0.02 eV per atom
! total magnetization = 0.0 μB per formula unit
! DOS(E_F) = 1.8 states/eV/f.u.
&SYSTEM
  ibrav = 0, nat = 5, ntyp = 4
/
ATOMIC_SPECIES
Hg 200.59 Hg.upf
In 114.82 In.upf
Ga 69.72 Ga.upf
K 39.10 K.upf
CELL_PARAMETERS angstrom
5.371 0.000 0.000
0.000 5.371 0.000
0.000 0.000 5.704
ATOMIC_POSITIONS angstrom
Hg 2.686 0.000 0.000
Hg 0.000 2.686 0.000
In 0.000 0.000 2.852
Ga 0.000 0.000 0.000
K 2.686 2.686 2.852

! PBE-GGA KIn2GaHg4, optimized geometry; values from VASP
! energy of formation from the pure elements = -0.05 eV per atom
! total magnetization = 0.0 μB per formula unit
! DOS(E_F) = 4.3 states/eV/f.u.
&SYSTEM
  ibrav = 0, nat = 8, ntyp = 4
/
ATOMIC_SPECIES
In 114.82 In.upf
K 39.10 K.upf
Hg 200.59 Hg.upf
Ga 69.72 Ga.upf
CELL_PARAMETERS angstrom
-3.504 -0.780 -3.958
-4.009 -3.477 0.627
-7.596 5.037 2.125
ATOMIC_POSITIONS angstrom
In -11.371 0.635 -0.879
In -3.737 0.145 -0.327
K 0.000 0.000 0.000
Hg -9.566 -1.653 -2.026
Hg -9.256 2.547 0.478
Hg -5.853 -1.767 -1.684
Hg -5.542 2.433 0.820
Ga -7.554 0.390 -0.603

! PBE-GGA K2InGaHg6, optimized geometry; values from VASP
! energy of formation from the pure elements = -0.09 eV per atom
! total magnetization = 0.0 μB per formula unit
! DOS(E_F) = 4.7 states/eV/f.u.
&SYSTEM
  ibrav = 0, nat = 10, ntyp = 4
/
ATOMIC_SPECIES
K 39.10 K.upf
Ga 69.72 Ga.upf
In 114.82 In.upf
Hg 200.59 Hg.upf
CELL_PARAMETERS angstrom
-5.870 5.236 0.562
-4.196 -4.020 -5.334
-6.810 -2.469 1.936
ATOMIC_POSITIONS angstrom
K -8.020 -2.937 -2.890
K -8.856 1.685 0.055
Ga 0.000 0.000 0.000
In -5.033 0.608 -2.386
Hg -5.463 2.992 -0.867
Hg -10.896 -0.278 -2.662
Hg -9.250 -2.167 0.769
Hg -7.627 0.915 -3.605
Hg -11.414 -4.244 -1.969
Hg -5.981 -0.974 -0.174

! PBE-GGA K2In4Ga3Hg, optimized geometry; values from VASP
! energy of formation from the pure elements = -0.12 eV per atom
! total magnetization = 0.0 μB per formula unit
! DOS(E_F) = 3.9 states/eV/f.u.
&SYSTEM
  ibrav = 0, nat = 10, ntyp = 4
/
ATOMIC_SPECIES
In 114.82 In.upf
Ga 69.72 Ga.upf
K 39.10 K.upf
Hg 200.59 Hg.upf
CELL_PARAMETERS angstrom
4.869 0.000 0.000
0.000 4.869 0.000
0.000 0.000 11.804
ATOMIC_POSITIONS angstrom
In 0.000 2.435 4.291
In 2.435 0.000 7.513
In 0.000 0.000 0.000
In 2.435 2.435 0.000
Ga 0.000 0.000 5.902
Ga 0.000 2.435 1.544
Ga 2.435 0.000 10.260
K 0.000 2.435 8.847
K 2.435 0.000 2.958
Hg 2.435 2.435 5.902

! PBE-GGA KInGa2Hg, optimized geometry; values from VASP
! energy of formation from the pure elements = -0.13 eV per atom
! total magnetization = 0.0 μB per formula unit
! DOS(E_F) = 1.7 states/eV/f.u.
&SYSTEM
  ibrav = 0, nat = 5, ntyp = 4
/
ATOMIC_SPECIES
K 39.10 K.upf
Hg 200.59 Hg.upf
Ga 69.72 Ga.upf
In 114.82 In.upf
CELL_PARAMETERS angstrom
-0.525 -4.534 0.637
1.393 -0.797 -4.521
5.311 2.259 3.783
ATOMIC_POSITIONS angstrom
K 5.049 -0.357 1.619
Hg 4.328 -2.940 -0.694
Ga 0.740 -0.052 0.237
Ga 1.861 -2.417 0.999
In 2.818 -0.548 -1.581

! PBE-GGA K2In3GaHg4, optimized geometry; values from VASP
! energy of formation from the pure elements = -0.12 eV per atom
! total magnetization = 0.0 μB per formula unit
! DOS(E_F) = 6.3 states/eV/f.u.
&SYSTEM
  ibrav = 0, nat = 10, ntyp = 4
/
ATOMIC_SPECIES
Ga 69.72 Ga.upf
Hg 200.59 Hg.upf
In 114.82 In.upf
K 39.10 K.upf
CELL_PARAMETERS angstrom
-2.758 0.741 -4.026
-3.765 -2.364 2.145
-4.012 10.663 4.710
ATOMIC_POSITIONS angstrom
Ga -5.267 4.520 1.414
Hg -3.369 2.769 2.817
Hg -3.904 7.082 0.952
Hg -3.262 -0.812 -0.941
Hg 0.000 0.000 0.000
In -2.006 5.331 2.355
In -2.423 0.254 1.706
In -4.851 9.597 2.063
K -4.885 6.799 4.598
K -2.388 3.052 -0.828

! PBE-GGA LiIn2GaHg5, optimized geometry; values from VASP
! energy of formation from the pure elements = -0.04 eV per atom
! total magnetization = 0.0 μB per formula unit
! DOS(E_F) = 2.9 states/eV/f.u.
&SYSTEM
  ibrav = 0, nat = 18, ntyp = 4
/
ATOMIC_SPECIES
Hg 200.59 Hg.upf
Ga 69.72 Ga.upf
Li 6.94 Li.upf
In 114.82 In.upf
CELL_PARAMETERS angstrom
-0.727 -3.864 1.289
4.914 3.382 6.271
-10.579 4.029 6.117
ATOMIC_POSITIONS angstrom
Hg 3.254 1.079 5.071
Hg -3.837 3.703 8.941
Hg -0.491 0.227 0.403
Hg -7.433 2.233 9.147
Hg -0.770 -0.836 3.702
Hg 1.730 2.297 7.865
Hg -7.825 1.136 5.638
Hg -1.440 2.259 5.963
Hg -1.707 1.723 10.848
Hg -4.477 0.499 5.616
Ga 1.498 0.677 2.876
Ga -3.172 1.073 8.072
Li -0.829 3.017 8.581
Li -9.656 2.089 7.461
In -5.803 3.315 6.669
In -5.359 2.614 11.459
In -2.713 1.573 3.188
In 0.514 -0.188 6.369

! PBE-GGA LiInGaHg2, optimized geometry; values from VASP
! energy of formation from the pure elements = -0.12 eV per atom
! total magnetization = 0.0 μB per formula unit
! DOS(E_F) = 1.7 states/eV/f.u.
! offset from the most stable computed form = 0 meV per atom
&SYSTEM
  ibrav = 0, nat = 10, ntyp = 4
/
ATOMIC_SPECIES
Li 6.94 Li.upf
Ga 69.72 Ga.upf
Hg 200.59 Hg.upf
In 114.82 In.upf
CELL_PARAMETERS angstrom
4.704 0.000 0.000
0.000 8.165 0.868
0.000 -2.398 5.453
ATOMIC_POSITIONS angstrom
Li 1.176 5.164 2.147
Li 3.528 0.602 4.173
Ga 1.176 2.508 3.799
Ga 3.528 3.258 2.521
Hg 1.176 -0.230 2.763
Hg 3.528 2.992 5.797
Hg 1.176 2.774 0.524
Hg 3.528 5.996 3.558
In 1.176 5.141 5.431
In 3.528 0.625 0.890

! PBE-GGA LiIn2GaHg2, optimized geometry; values from VASP
! energy of formation from the pure elements = -0.09 eV per atom
! total magnetization = 0.0 μB per formula unit
! DOS(E_F) = 2.4 states/eV/f.u.
&SYSTEM
  ibrav = 0, nat = 12, ntyp = 4
/
ATOMIC_SPECIES
Hg 200.59 Hg.upf
Ga 69.72 Ga.upf
In 114.82 In.upf
Li 6.94 Li.upf
CELL_PARAMETERS angstrom
6.147 0.000 0.000
0.000 6.532 0.000
-3.074 -3.266 6.954
ATOMIC_POSITIONS angstrom
Hg 1.438 3.266 1.822
Hg 1.636 0.000 5.132
Hg -1.636 3.266 5.132
Hg 4.709 0.000 1.822
Ga 3.074 1.633 0.000
Ga 3.074 4.899 0.000
In 4.598 3.266 2.192
In -1.524 0.000 4.762
In 1.549 0.000 2.192
In 1.524 3.266 4.762
Li 0.000 1.633 0.000
Li 0.000 4.899 0.000

! PBE-GGA LiInGaHg2, optimized geometry; values from VASP
! energy of formation from the pure elements = 0.16 eV per atom
! total magnetization = 0.0 μB per formula unit
! DOS(E_F) = 2.3 states/eV/f.u.
! offset from the most stable computed form = 280 meV per atom
&SYSTEM
  ibrav = 0, nat = 5, ntyp = 4
/
ATOMIC_SPECIES
Li 6.94 Li.upf
In 114.82 In.upf
Hg 200.59 Hg.upf
Ga 69.72 Ga.upf
CELL_PARAMETERS angstrom
5.236 0.000 0.000
0.000 5.471 0.000
0.000 0.000 5.236
ATOMIC_POSITIONS angstrom
Li 2.618 2.735 2.618
In 0.000 2.735 0.000
Hg 2.618 0.000 0.000
Hg 0.000 0.000 2.618
Ga 0.000 0.000 0.000